MoCl6 | Alexandria | SCAN | PBEsol geometry; total DFT energy (no corrections) = -12.650 eV/atom; ΔE_f (raw) = -0.8283 eV/atom; total magnetic moment = 0.0 μB/f.u.; space-group type = P-31m
1.0
6.0848 0.0000 0.0000
-3.0424 5.2696 0.0000
0.0000 0.0000 5.4441
Mo Cl
1 6
Cartesian
0.0000 0.0000 0.0000
-0.9321 1.6144 4.1229
-2.1103 3.6552 1.3213
1.8641 0.0000 4.1229
0.9321 1.6144 1.3213
4.2207 0.0000 1.3213
2.1103 3.6552 4.1229